# 1
This record from the Alexandria database describes Ba2NaBeCu after structural relaxation. The functional is PBE.

Computed properties:
Its density of states at the Fermi level is 4.55 states/eV/cell. As for the formation energy: 395 kJ/mol of formula units.

Cell: 6.3956 6.3956 4.6113 Å, 90.00 90.00 90.00°
Atoms (fractional coordinates):
Ba 0.0000 0.5000 0.0000
Ba 0.5000 0.0000 0.0000
Na 0.0000 0.0000 0.0000
Be 0.0000 0.0000 0.5000
Cu 0.5000 0.5000 0.5000

---

# 2
This record from the Alexandria database describes ErTm3Zr2N6 after structural relaxation. The functional is PBE.

Computed properties:
Its density of states at the Fermi level is 2.79 states/eV/cell. The energy relative to the elements, uncorrected is -1.801 eV per atom.

Cell: 7.4873 7.4873 6.7105 Å, 103.05 103.05 25.82°
Atoms (fractional coordinates):
Er 0.0000 0.0000 0.0000
Tm 0.0000 0.0000 0.5000
Tm 0.3333 0.3333 0.1668
Tm 0.6667 0.6667 0.8332
Zr 0.3331 0.3331 0.6657
Zr 0.6669 0.6669 0.3343
N 0.1680 0.1680 0.0931
N 0.1695 0.1695 0.5778
N 0.4955 0.4955 0.7460
N 0.5045 0.5045 0.2540
N 0.8305 0.8305 0.4222
N 0.8320 0.8320 0.9069

---

# 3
This record from the Alexandria database describes TaCuSN2 after structural relaxation. The functional is PBE.

Computed properties:
Its density of states at the Fermi level is 3.89 states/eV/cell. The energy relative to the elements, uncorrected is 0.367 eV per atom.

Cell: 3.9362 3.9362 5.2051 Å, 90.00 90.00 90.00°
Atoms (fractional coordinates):
Ta 0.0000 0.0000 0.0000
Cu 0.5000 0.5000 0.5000
S 0.0000 0.0000 0.5000
N 0.0000 0.5000 0.0000
N 0.5000 0.0000 0.0000

---

# 4
This record from the Alexandria database describes NaCe2Os after structural relaxation. The functional is PBE.

Computed properties:
Its density of states at the Fermi level is 11.57 states/eV/cell. As for the formation energy: 35 kJ/mol of formula units.

Cell: 10.6808 10.6808 10.6808 Å, 21.78 21.78 21.78°
Atoms (fractional coordinates):
Na 0.0000 0.0000 0.0000
Ce 0.1196 0.1196 0.1196
Ce 0.8804 0.8804 0.8804
Os 0.5000 0.5000 0.5000